# 1
Entry from Alexandria via LeMat-Bulk: a relaxed structure of YTm2Pt2 (PBE).

The structure in extended XYZ format:
```
10
Lattice="5.395 0.000 0.000 0.000 4.551 0.000 -1.497 0.000 10.207" Properties=species:S:1:pos:R:3 pbc="T T T"
Y 0.069 1.138 2.933
Y 3.829 3.413 7.275
Tm -0.079 1.138 9.880
Tm 1.174 1.138 6.305
Tm 2.724 3.413 3.902
Tm 3.977 3.413 0.327
Pt 0.123 3.413 4.832
Pt 1.251 3.413 1.396
Pt 2.647 1.138 8.811
Pt 3.775 1.138 5.375
```

Polymorph energy (0 for the lowest one) = 0.0000 eV per atom
Space group = P2_1/m, No. 11
D(E_F) = 0.701 states/eV per atom
E_tot = -6.57 eV/atom
Formation energy = -1076 meV per atom

# 2
Entry from Alexandria via LeMat-Bulk: a relaxed structure of PrCuSe2 (PBE).

The structure in extended XYZ format:
```
4
Lattice="2.248 1.298 7.527 -2.248 1.298 7.527 0.000 -2.596 7.527" Properties=species:S:1:pos:R:3 pbc="T T T"
Pr 0.000 0.000 0.000
Cu 0.000 0.000 11.291
Se 0.000 0.000 9.034
Se 0.000 0.000 13.548
```

E_form (uncorrected) = -1.10 eV per atom
Space group = R-3m, No. 166
D(E_F) = 0.000 states/eV per atom
E_tot = -5.06 eV/atom

Question: What is the D(E_F) in the first record?
Answer: 0.701 states/eV per atom